[1]
Entry from the Alexandria database: a geometry-optimized K2IrW structure (GGA-PBE).

Results
Energy relative to the elements: 5.0 eV/f.u.
Calculated density: 8.80 g/cm³
Energy above the lowest structure with this stoichiometry: 0.6338 eV/atom
Space-group type: Cmmm, No. 65
Crystal system: orthorhombic

POSCAR file:
```
K2IrW
1.0
-4.9956 -0.3873 3.9314
5.8434 -2.4944 0.4402
0.8757 2.2875 1.3381
K Ir W
2 1 1
Direct
0.5000 0.5000 0.0000
0.0000 0.0000 0.0000
0.0000 0.5000 0.5000
0.5000 0.0000 0.5000
```

[2]
Entry from the Alexandria database: a geometry-optimized La4Tb2PmEr structure (GGA-PBE).

Results
Energy relative to the elements: 0.7 eV/f.u.
Calculated density: 7.09 g/cm³
Space-group type: P2/m, No. 10
Crystal system: monoclinic

POSCAR file:
```
La4Tb2PmEr
1.0
-0.2372 5.7190 -1.7888
-0.1922 1.7847 5.7313
7.5128 2.1485 5.8724
Pm La Tb Er
1 4 2 1
Direct
0.5000 0.5000 0.0000
0.5000 0.2573 0.7428
0.0000 0.7584 0.7429
0.5000 0.7427 0.2572
0.0000 0.2416 0.2571
0.0000 0.0000 0.0000
0.5000 0.0000 0.5000
0.0000 0.5000 0.5000
```

[3]
Entry from the Alexandria database: a geometry-optimized LiSc2Rh structure (GGA-PBE).

Results
Energy relative to the elements: -1.1 eV/f.u.
Calculated density: 4.53 g/cm³
Space-group type: P4mm, No. 99
Crystal system: tetragonal

POSCAR file:
```
LiSc2Rh
1.0
3.2926 0.0000 0.0000
0.0000 3.2926 0.0000
0.0000 0.0000 6.7558
Sc Li Rh
2 1 1
Direct
0.0000 0.0000 0.9421
0.5000 0.5000 0.2967
0.0000 0.0000 0.5425
0.5000 0.5000 0.7187
```

[4]
Entry from the Alexandria database: a geometry-optimized La2NdAg2 structure (GGA-PBE).

Results
Energy relative to the elements: -0.9 eV/f.u.
Calculated density: 7.14 g/cm³
Energy above the lowest structure with this stoichiometry: 0.0080 eV/atom
Space-group type: P2_1/m, No. 11
Crystal system: monoclinic

POSCAR file:
```
La2NdAg2
1.0
-1.4281 -3.7481 -3.3148
-3.1032 -3.2181 4.9758
-5.4572 6.0377 -4.4757
Nd La Ag
2 4 4
Direct
0.2500 0.7143 0.2619
0.7500 0.2857 0.7381
0.2500 0.3299 0.4521
0.7500 0.6701 0.5479
0.7500 0.2238 0.1267
0.2500 0.7762 0.8733
0.2500 0.9789 0.6154
0.7500 0.0211 0.3846
0.2500 0.3171 0.9438
0.7500 0.6829 0.0562
```

[5]
Entry from the Alexandria database: a geometry-optimized AlNi structure (GGA-PBE).

Results
Energy relative to the elements: -1.0 eV/f.u.
Calculated density: 5.65 g/cm³
Space-group type: Cmcm, No. 63
Crystal system: orthorhombic

POSCAR file:
```
AlNi
1.0
6.9837 0.0000 0.0000
0.0000 6.1502 0.0000
0.0000 0.0000 4.6923
Ni Al
8 8
Direct
0.0000 0.3546 0.7500
0.0000 0.0000 0.5000
0.5000 0.5000 0.5000
0.0000 0.0000 0.0000
0.5000 0.5000 0.0000
0.5000 0.8546 0.7500
0.0000 0.6454 0.2500
0.5000 0.1454 0.2500
0.6925 0.1700 0.7500
0.8075 0.6700 0.7500
0.8075 0.3300 0.2500
0.1925 0.6700 0.7500
0.6925 0.8300 0.2500
0.3075 0.8300 0.2500
0.3075 0.1700 0.7500
0.1925 0.3300 0.2500
```

[6]
Entry from the Alexandria database: a geometry-optimized La3ThSn3 structure (GGA-PBE).

Results
Energy relative to the elements: -3.3 eV/f.u.
Calculated density: 7.58 g/cm³
Space-group type: P6_3/m, No. 176
Crystal system: hexagonal

POSCAR file:
```
La3ThSn3
1.0
-3.3906 3.9584 2.2987
-6.6226 -6.5635 1.5340
6.5282 1.7581 6.6017
Th Sn La
2 6 6
Direct
0.7500 0.3333 0.6667
0.2500 0.6667 0.3333
0.7500 0.4520 0.3767
0.7500 0.9247 0.5480
0.7500 0.6233 0.0753
0.2500 0.0753 0.4520
0.2500 0.5480 0.6233
0.2500 0.3767 0.9247
0.2500 0.7573 0.0106
0.7500 0.2427 0.9894
0.2500 0.9894 0.7467
0.7500 0.7467 0.7573
0.2500 0.2533 0.2427
0.7500 0.0106 0.2533
```

[7]
Entry from the Alexandria database: a geometry-optimized AlTc2H structure (GGA-PBE).

Results
Calculated density: 8.06 g/cm³
Energy above the lowest structure with this stoichiometry: 0.0000 eV/atom
Space-group type: R-3m, No. 166
Crystal system: trigonal

POSCAR file:
```
AlTc2H
1.0
2.8510 0.0000 0.0000
1.4255 2.4690 0.0000
1.4255 0.8230 6.5560
Tc Al H
2 1 1
Direct
0.2779 0.2779 0.1662
0.7221 0.7221 0.8338
0.5000 0.5000 0.5000
0.0000 0.0000 0.0000
```

[8]
Entry from the Alexandria database: a geometry-optimized Au2BrCl structure (GGA-PBE).

Results
Calculated density: 8.22 g/cm³
Energy above the lowest structure with this stoichiometry: 0.2418 eV/atom
Space-group type: Imm2, No. 44
Crystal system: orthorhombic

POSCAR file:
```
Au2BrCl
1.0
7.5893 0.0535 -0.0102
5.6369 5.0818 0.0102
-6.5376 -2.7622 2.6889
Cl Au Br
1 2 1
Direct
0.2529 0.7529 0.5000
0.7972 0.2972 0.5000
0.9483 0.9483 0.0000
0.5016 0.5016 0.0000
```

[9]
Entry from the Alexandria database: a geometry-optimized ReAgS3 structure (GGA-PBE).

Results
Calculated density: 6.39 g/cm³
Energy above the lowest structure with this stoichiometry: 0.5428 eV/atom
Space-group type: Pm-3m, No. 221
Crystal system: cubic

POSCAR file:
```
ReAgS3
1.0
-4.0809 -1.6068 -1.5882
0.4756 -3.8167 2.6391
-2.2086 2.1470 3.5030
S Ag Re
3 1 1
Direct
0.0000 0.0000 0.5000
0.0000 0.5000 0.0000
0.5000 0.0000 0.0000
0.5000 0.5000 0.5000
0.0000 0.0000 0.0000
```

[10]
Entry from the Alexandria database: a geometry-optimized Cs3Tm3TiSe8 structure (GGA-PBE).

Results
Calculated density: 5.38 g/cm³
Raw total energy: -5.03 eV per atom
Space-group type: C2/m, No. 12
Crystal system: monoclinic

POSCAR file:
```
Cs3Tm3TiSe8
1.0
-3.3400 6.3839 -3.7861
-4.1043 -7.0048 0.5578
0.4365 5.1351 8.2735
Se Tm Ti Cs
8 3 1 3
Direct
0.7861 0.5722 0.3254
0.2139 0.4278 0.6746
0.7282 0.4563 0.6842
0.7862 0.0390 0.3255
0.2718 0.5437 0.3158
0.2529 0.0390 0.3255
0.2138 0.9610 0.6745
0.7471 0.9610 0.6745
0.5000 0.0000 0.5000
0.0000 0.5000 0.5000
0.5000 0.5000 0.5000
0.0000 0.0000 0.5000
0.5000 0.5000 0.0000
0.0000 0.5000 0.0000
0.0000 0.0000 0.0000
```

[11]
Entry from the Alexandria database: a geometry-optimized Mg8Hg2Bi structure (GGA-PBE).

Results
Energy relative to the elements: -1.4 eV/f.u.
Calculated density: 5.15 g/cm³
Energy above the lowest structure with this stoichiometry: 0.0000 eV/atom
Space-group type: C2/m, No. 12
Crystal system: monoclinic

POSCAR file:
```
Mg8Hg2Bi
1.0
-2.9895 -3.3735 -0.3404
4.8105 -4.5771 3.1137
-3.4276 5.4725 5.8820
Hg Mg Bi
2 8 1
Direct
0.8084 0.3156 0.6168
0.1916 0.6844 0.3832
0.3247 0.0624 0.6495
0.0314 0.7401 0.0627
0.9686 0.2599 0.9373
0.8113 0.7115 0.6226
0.4065 0.5223 0.8129
0.1887 0.2885 0.3774
0.5935 0.4777 0.1871
0.6753 0.9376 0.3505
0.5000 0.0000 0.0000
```

[12]
Entry from the Alexandria database: a geometry-optimized PmSnPt structure (GGA-PBE).

Results
Energy relative to the elements: -1.9 eV/f.u.
Calculated density: 8.94 g/cm³
Energy above the lowest structure with this stoichiometry: 0.4006 eV/atom
Space-group type: Fddd, No. 70
Crystal system: orthorhombic

POSCAR file:
```
PmSnPt
1.0
7.0941 0.4035 0.0000
-0.8065 7.0596 0.0000
-3.1438 -3.7316 6.7639
Sn Pt Pm
4 4 4
Direct
0.6250 0.3750 0.2500
0.6250 0.8750 0.2500
0.1250 0.3750 0.7500
0.6250 0.3750 0.7500
0.0346 0.9654 0.5000
0.2154 0.7846 0.0000
0.7846 0.2154 0.0000
0.4654 0.5346 0.5000
0.8583 0.8583 0.7166
0.1417 0.1417 0.2834
0.1083 0.6083 0.2166
0.3917 0.8917 0.7834
```

[13]
Entry from the Alexandria database: a geometry-optimized LiTaBe structure (GGA-PBE).

Results
Energy relative to the elements: 0.9 eV/f.u.
Calculated density: 8.00 g/cm³
Energy above the lowest structure with this stoichiometry: 0.1777 eV/atom
Space-group type: P1, No. 1
Crystal system: triclinic

POSCAR file:
```
LiTaBe
1.0
6.8506 -0.0002 -0.0011
1.8115 4.6607 -0.0026
-0.4973 -0.3852 2.5605
Be Li Ta
2 2 2
Direct
0.1213 0.6116 0.7360
0.8794 0.4894 0.0809
0.6769 0.9325 0.6841
0.9323 0.0544 0.3563
0.2855 0.0990 0.0006
0.4846 0.5272 0.4355
```

[14]
Entry from the Alexandria database: a geometry-optimized LaZrSeN2 structure (GGA-PBE).

Results
Calculated density: 5.33 g/cm³
Energy above the lowest structure with this stoichiometry: 1.2666 eV/atom
Space-group type: P4/mmm, No. 123
Crystal system: tetragonal

POSCAR file:
```
LaZrSeN2
1.0
-3.9039 -0.3537 -1.6150
-0.8184 -3.1850 2.6758
-1.9816 3.8290 3.9517
Zr N La Se
1 2 1 1
Direct
0.5000 0.5000 0.5000
0.0000 0.5000 0.0000
0.5000 0.0000 0.0000
0.0000 0.0000 0.0000
0.0000 0.0000 0.5000
```

[15]
Entry from the Alexandria database: a geometry-optimized SmHf structure (GGA-PBE).

Results
Energy relative to the elements: 0.4 eV/f.u.
Calculated density: 10.04 g/cm³
Energy above the lowest structure with this stoichiometry: 0.0000 eV/atom
Space-group type: Pmmn, No. 59
Crystal system: orthorhombic

POSCAR file:
```
SmHf
1.0
3.3238 0.0000 0.2753
0.0000 5.3398 0.0000
-0.5043 0.0000 6.0850
Hf Sm
2 2
Direct
0.7501 0.7500 0.5684
0.2499 0.2500 0.4316
0.7499 0.2500 0.8982
0.2501 0.7500 0.1018
```

[16]
Entry from the Alexandria database: a geometry-optimized TiPtSe2 structure (GGA-PBE).

Results
Calculated density: 9.73 g/cm³
Energy above the lowest structure with this stoichiometry: 0.2684 eV/atom
Space-group type: Fm-3m, No. 225
Crystal system: cubic

POSCAR file:
```
TiPtSe2
1.0
0.0000 3.2466 3.2466
3.2466 0.0000 3.2466
3.2466 3.2466 0.0000
Pt Se Ti
1 2 1
Direct
0.5000 0.5000 0.5000
0.7500 0.7500 0.7500
0.2500 0.2500 0.2500
0.0000 0.0000 0.0000
```

[17]
Entry from the Alexandria database: a geometry-optimized CsRbTlCd structure (GGA-PBE).

Results
Energy relative to the elements: 0.2 eV/f.u.
Calculated density: 5.32 g/cm³
Energy above the lowest structure with this stoichiometry: 0.1222 eV/atom
Space-group type: F-43m, No. 216
Crystal system: cubic

POSCAR file:
```
CsRbTlCd
1.0
6.1835 0.0000 0.0000
3.0918 5.3551 0.0000
3.0918 1.7850 5.0488
Rb Cd Cs Tl
1 1 1 1
Direct
0.2500 0.2500 0.2500
0.7500 0.7500 0.7500
0.5000 0.5000 0.5000
0.0000 0.0000 0.0000
```

[18]
Entry from the Alexandria database: a geometry-optimized RbZn11 structure (GGA-PBE).

Results
Energy relative to the elements: -0.2 eV/f.u.
Calculated density: 6.41 g/cm³
Space-group type: I4_1/amd, No. 141
Crystal system: tetragonal

POSCAR file:
```
RbZn11
1.0
6.3874 0.0000 2.9130
3.1937 7.7088 1.4565
-0.0049 0.0000 8.4704
Rb Zn
2 22
Direct
0.5000 0.0000 0.0000
0.2500 0.5000 0.5000
0.6012 0.0851 0.3316
0.4363 0.8316 0.4149
0.8750 0.2500 0.2500
0.6012 0.3316 0.0851
0.8750 0.2500 0.7500
0.0672 0.3316 0.9149
0.1488 0.1684 0.4149
0.7321 0.5851 0.8316
0.0179 0.6684 0.9149
0.6828 0.1684 0.5851
0.7321 0.8316 0.5851
0.8750 0.7500 0.2500
0.6828 0.5851 0.1684
0.0179 0.9149 0.6684
0.3137 0.6684 0.0851
0.3137 0.0851 0.6684
0.1488 0.4149 0.1684
0.0000 0.0000 0.0000
0.7500 0.5000 0.5000
0.4363 0.4149 0.8316
0.3750 0.7500 0.7500
0.0672 0.9149 0.3316
```

[19]
Entry from the Alexandria database: a geometry-optimized Na2Tl2H4Pt structure (GGA-PBE).

Results
Calculated density: 6.80 g/cm³
Raw total energy: -2.96 eV per atom
Space-group type: I4/mmm, No. 139
Crystal system: tetragonal

POSCAR file:
```
Na2Tl2H4Pt
1.0
-3.7089 4.7080 0.9383
0.4668 -4.2955 4.2583
5.9988 0.9023 0.0450
H Pt Na Tl
4 1 2 2
Direct
0.0000 0.8050 0.1950
0.3899 0.1950 0.1950
0.0000 0.1950 0.8050
0.6101 0.8050 0.8050
0.0000 0.0000 0.0000
0.5000 0.7500 0.2500
0.5000 0.2500 0.7500
0.0000 0.6696 0.6696
0.0000 0.3303 0.3303
```

[20]
Entry from the Alexandria database: a geometry-optimized BaTe2Br structure (GGA-PBE).

Results
Calculated density: 5.82 g/cm³
Energy above the lowest structure with this stoichiometry: 0.0361 eV/atom
Space-group type: I4/mmm, No. 139
Crystal system: tetragonal

POSCAR file:
```
BaTe2Br
1.0
7.2426 -0.0521 -0.0284
5.8409 4.2827 -0.0284
1.4583 0.4716 4.2978
Te Br Ba
2 1 1
Direct
0.4999 0.4999 0.5001
0.0001 0.0001 0.9999
0.2500 0.2500 0.2500
0.7500 0.7500 0.7500
```